This record from the Alexandria database describes a relaxed Th2Ru2Rh crystal. The functional is PBE-GGA.

abc: 4.651 5.435 5.435
angles: 61.87 64.67 64.67
Fractional coordinates of all 5 atoms:
1 Ru 0.500 0.258 0.742
2 Ru 0.500 0.742 0.258
3 Th 0.788 0.712 0.712
4 Th 0.212 0.288 0.288
5 Rh 0.000 0.000 0.000

Results
The calculation puts the final energy at -0.3174 Ha/atom. The formation enthalpy at 0 K is -0.49 eV per atom.



This record from the Alexandria database describes a relaxed CsCdAg2Sn crystal. The functional is PBE-GGA.

abc: 5.481 5.481 5.701
angles: 90.00 90.00 90.00
Fractional coordinates of all 5 atoms:
1 Sn 0.000 0.000 0.000
2 Cd 0.000 0.000 0.500
3 Ag 0.500 0.000 0.000
4 Ag 0.000 0.500 0.000
5 Cs 0.500 0.500 0.500

Results
The calculation puts the final energy at -0.0818 Ha/atom. The formation enthalpy at 0 K is 0.07 eV per atom.



This record from the Alexandria database describes a relaxed CaYMn2Au crystal. The functional is PBE-GGA.

abc: 5.111 5.395 5.111
angles: 90.00 90.00 90.00
Site moments in Bohr magnetons follow the coordinates.
Fractional coordinates of all 5 atoms:
1 Y 0.000 0.000 0.000  -0.32
2 Mn 0.500 0.000 0.000  3.86
3 Mn 0.000 0.000 0.500  3.37
4 Ca 0.500 0.500 0.500  -0.02
5 Au 0.000 0.500 0.000  0.02

Results
The calculation puts the final energy at -0.1933 Ha/atom. The formation enthalpy at 0 K is 0.76 eV per atom.



This record from the Alexandria database describes a relaxed CsIn12Ga4 crystal. The functional is PBE-GGA.

abc: 8.612 8.612 8.612
angles: 109.47 109.47 109.47
Fractional coordinates of all 17 atoms:
1 In 0.352 0.511 0.159
2 In 0.808 0.159 0.648
3 In 0.841 0.352 0.192
4 In 0.159 0.648 0.808
5 In 0.648 0.808 0.159
6 In 0.841 0.648 0.489
7 In 0.648 0.489 0.841
8 In 0.352 0.192 0.841
9 In 0.159 0.352 0.511
10 In 0.511 0.159 0.352
11 In 0.192 0.841 0.352
12 In 0.489 0.841 0.648
13 Ga 0.500 0.500 0.500
14 Ga 0.000 0.000 0.500
15 Ga 0.000 0.500 0.000
16 Ga 0.500 0.000 0.000
17 Cs 0.000 0.000 0.000

Results
The calculation puts the final energy at -0.0963 Ha/atom. The formation enthalpy at 0 K is 0.07 eV per atom.



This record from the Alexandria database describes a relaxed Tb2Ho9Tm crystal. The functional is PBE-GGA.

abc: 3.466 11.123 11.123
angles: 120.00 90.00 90.00
Fractional coordinates of all 12 atoms:
1 Ho 0.500 0.175 0.825
2 Ho 0.500 0.825 0.175
3 Ho 0.000 0.500 0.500
4 Ho 0.000 0.500 0.000
5 Ho 0.000 0.000 0.500
6 Ho 0.500 0.650 0.825
7 Ho 0.500 0.175 0.350
8 Ho 0.500 0.350 0.175
9 Ho 0.500 0.825 0.650
10 Tb 0.000 0.667 0.333
11 Tb 0.000 0.333 0.667
12 Tm 0.000 0.000 0.000

Results
The calculation puts the final energy at -0.1660 Ha/atom. Its energy above the most stable polymorph in this dataset is 0.039 eV/atom. The formation enthalpy at 0 K is 0.06 eV per atom.



This record from the Alexandria database describes a relaxed SrEr2Te4 crystal. The functional is PBE-GGA.

abc: 4.397 7.525 15.171
angles: 90.00 90.00 106.99
Fractional coordinates of all 14 atoms:
1 Te 0.772 0.544 0.385
2 Te 0.772 0.544 0.115
3 Te 0.500 0.000 0.000
4 Te 0.228 0.456 0.885
5 Te 0.228 0.456 0.615
6 Te 0.500 0.000 0.500
7 Te 0.055 0.111 0.250
8 Te 0.945 0.889 0.750
9 Sr 0.387 0.774 0.250
10 Sr 0.613 0.226 0.750
11 Er 0.134 0.269 0.068
12 Er 0.866 0.731 0.568
13 Er 0.866 0.731 0.932
14 Er 0.134 0.269 0.432

Results
The calculation puts the final energy at -0.1768 Ha/atom. As for the formation energy from raw total energies: -1.471 eV per atom.



This record from the Alexandria database describes a relaxed ErThCoRh crystal. The functional is PBE-GGA.

abc: 4.880 4.880 4.880
angles: 60.00 60.00 60.00
Fractional coordinates of all 4 atoms:
1 Rh 0.750 0.750 0.750
2 Th 0.000 0.000 0.000
3 Co 0.250 0.250 0.250
4 Er 0.500 0.500 0.500

Results
The calculation puts the final energy at -0.2606 Ha/atom. The formation enthalpy at 0 K is -0.48 eV per atom.



This record from the Alexandria database describes a relaxed LaPm4Y5 crystal. The functional is PBE-GGA.

abc: 3.636 3.636 25.374
angles: 90.00 90.00 90.00
Fractional coordinates of all 10 atoms:
1 Y 0.500 0.500 0.102
2 Y 0.500 0.500 0.301
3 Y 0.500 0.500 0.500
4 Y 0.500 0.500 0.699
5 Y 0.500 0.500 0.898
6 La 0.000 0.000 0.000
7 Pm 0.000 0.000 0.600
8 Pm 0.000 0.000 0.799
9 Pm 0.000 0.000 0.201
10 Pm 0.000 0.000 0.400

Results
The calculation puts the final energy at -0.2061 Ha/atom. The formation enthalpy at 0 K is 0.02 eV per atom.